Entry 1:
{
  "formula": "CuPbW4C2",
  "functional": "PBE",
  "state": "optimized geometry",
  "total_magnetization_mub_per_cell": 0.0,
  "total_energy_ev_per_atom": -9.30,
  "lattice_angstrom": [[3.1411, 0.0000, 0.0000], [-1.5705, 2.7202, 0.0000], [0.0000, 0.0000, 13.5265]],
  "species": ["Cu", "Pb", "W", "W", "W", "W", "C", "C"],
  "fractional_positions": [[0.0000, 0.0000, 0.0000], [0.6667, 0.3333, 0.5000], [0.0000, 0.0000, 0.3131], [0.0000, 0.0000, 0.6869], [0.6667, 0.3333, 0.1474], [0.6667, 0.3333, 0.8526], [0.3333, 0.6667, 0.2321], [0.3333, 0.6667, 0.7679]]
}

***

Entry 2:
{
  "formula": "Pr2Dy2SiI5",
  "functional": "PBE",
  "state": "optimized geometry",
  "total_magnetization_mub_per_cell": 0.0,
  "total_energy_ev_per_atom": -4.40,
  "lattice_angstrom": [[9.7148, -2.1378, 0.0000], [9.7148, 2.1378, 0.0000], [-1.9637, 0.0000, 8.9420]],
  "species": ["Pr", "Pr", "Dy", "Dy", "Si", "I", "I", "I", "I", "I"],
  "fractional_positions": [[0.0012, 0.0012, 0.2859], [0.9988, 0.9988, 0.7141], [0.3566, 0.3566, 0.4272], [0.6434, 0.6434, 0.5728], [0.5000, 0.5000, 0.5000], [0.1692, 0.1692, 0.8230], [0.1759, 0.1759, 0.3460], [0.5000, 0.5000, 0.0000], [0.8241, 0.8241, 0.6540], [0.8308, 0.8308, 0.1770]]
}

***

Entry 3:
{
  "formula": "LuSbPO",
  "functional": "PBE",
  "state": "optimized geometry",
  "total_magnetization_mub_per_cell": 0.0,
  "total_energy_ev_per_atom": -6.04,
  "lattice_angstrom": [[3.9739, 0.0000, 0.0000], [0.0000, 3.9739, 0.0000], [0.0000, 0.0000, 9.9576]],
  "species": ["Lu", "Lu", "Sb", "Sb", "P", "P", "O", "O"],
  "fractional_positions": [[0.2500, 0.2500, 0.0985], [0.7500, 0.7500, 0.9015], [0.2500, 0.7500, 0.5000], [0.7500, 0.2500, 0.5000], [0.2500, 0.2500, 0.7330], [0.7500, 0.7500, 0.2670], [0.2500, 0.7500, 0.0000], [0.7500, 0.2500, 0.0000]]
}

***

Entry 4:
{
  "formula": "GdFeCuGe2",
  "functional": "PBE",
  "state": "optimized geometry",
  "total_magnetization_mub_per_cell": 2.2,
  "total_energy_ev_per_atom": -5.64,
  "lattice_angstrom": [[-2.0276, 2.0276, 5.1844], [2.0276, -2.0276, 5.1844], [2.0276, 2.0276, -5.1844]],
  "species": ["Gd", "Fe", "Cu", "Ge", "Ge"],
  "fractional_positions": [[0.0000, 0.0000, 0.0000], [0.7500, 0.2500, 0.5000], [0.2500, 0.7500, 0.5000], [0.3771, 0.3771, 0.0000], [0.6229, 0.6229, 0.0000]]
}

***

Entry 5:
{
  "formula": "LiCuS",
  "functional": "PBE",
  "state": "optimized geometry",
  "total_energy_ev_per_atom": -3.94,
  "lattice_angstrom": [[1.9545, -3.3178, 0.0000], [1.9545, 3.3178, 0.0000], [0.0000, 0.0000, 6.8661]],
  "species": ["Li", "Li", "Cu", "Cu", "S", "S"],
  "fractional_positions": [[0.0000, 0.0000, 0.0000], [0.0000, 0.0000, 0.5000], [0.3427, 0.6573, 0.7500], [0.6573, 0.3427, 0.2500], [0.3206, 0.6794, 0.2500], [0.6794, 0.3206, 0.7500]]
}

***

Entry 6:
{
  "formula": "CsCdTc",
  "functional": "PBE",
  "state": "optimized geometry",
  "total_magnetization_mub_per_cell": 3.2,
  "total_energy_ev_per_atom": -2.51,
  "lattice_angstrom": [[0.0000, 3.7453, 3.7453], [3.7453, 0.0000, 3.7453], [3.7453, 3.7453, 0.0000]],
  "species": ["Cs", "Cd", "Tc"],
  "fractional_positions": [[0.0000, 0.0000, 0.0000], [0.5000, 0.5000, 0.5000], [0.7500, 0.7500, 0.7500]]
}

***

Entry 7:
{
  "formula": "Sr2AlTcN6",
  "functional": "PBE",
  "state": "optimized geometry",
  "total_magnetization_mub_per_cell": 0.2,
  "total_energy_ev_per_atom": -6.77,
  "lattice_angstrom": [[0.0000, 3.9202, 3.9202], [3.9202, 0.0000, 3.9202], [3.9202, 3.9202, 0.0000]],
  "species": ["Sr", "Sr", "Al", "Tc", "N", "N", "N", "N", "N", "N"],
  "fractional_positions": [[0.2500, 0.2500, 0.2500], [0.7500, 0.7500, 0.7500], [0.0000, 0.0000, 0.0000], [0.5000, 0.5000, 0.5000], [0.2483, 0.2483, 0.7517], [0.2483, 0.7517, 0.2483], [0.2483, 0.7517, 0.7517], [0.7517, 0.2483, 0.2483], [0.7517, 0.2483, 0.7517], [0.7517, 0.7517, 0.2483]]
}

***

Entry 8:
{
  "formula": "LuFeCoGe",
  "functional": "PBE",
  "state": "optimized geometry",
  "total_magnetization_mub_per_cell": 4.3,
  "total_energy_ev_per_atom": -6.17,
  "lattice_angstrom": [[0.0000, 3.1578, 3.1578], [3.1578, 0.0000, 3.1578], [3.1578, 3.1578, 0.0000]],
  "species": ["Lu", "Fe", "Co", "Ge"],
  "fractional_positions": [[0.0000, 0.0000, 0.0000], [0.7500, 0.7500, 0.7500], [0.5000, 0.5000, 0.5000], [0.2500, 0.2500, 0.2500]]
}